No. 1
Compound: HRuF4
Source: Alexandria via LeMat-Bulk
Functional: PBE
Structure: optimized geometry

## Properties
- final energy (eV for the cell shown) = -25.814
- DOS at the Fermi energy (states/eV per cell) = 1.40
- symmetry = No. 82
- volume (Å³/atom) = 9.89

The structure in extended XYZ format:
```
6
Lattice="-2.403 2.403 2.571 2.403 -2.403 2.571 2.403 2.403 -2.571" Properties=species:S:1:pos:R:3 pbc="T T T"
H 0.000 0.000 0.000
Ru 2.403 0.000 1.285
F 1.186 0.985 -0.346
F 1.417 -1.216 2.917
F 1.216 1.417 2.225
F 0.985 3.619 0.346
```

---

No. 2
Compound: H3RuF9
Source: Alexandria via LeMat-Bulk
Functional: PBE
Structure: optimized geometry

## Properties
- final energy (eV for the cell shown) = -112.964
- DOS at the Fermi energy (states/eV per cell) = 20.66
- symmetry = No. 9
- volume (Å³/atom) = 13.69

The structure in extended XYZ format:
```
26
Lattice="7.099 -3.303 0.000 7.099 3.303 0.000 -6.167 0.000 7.589" Properties=species:S:1:pos:R:3 pbc="T T T"
H 4.016 2.761 3.795
H 1.796 2.222 6.625
H 3.428 1.737 5.494
H 6.512 -1.737 1.699
H 4.879 -2.222 2.831
H 7.099 -2.761 0.000
Ru 4.289 1.035 0.044
Ru 1.206 -1.035 3.839
F -1.266 1.198 5.885
F 1.232 0.818 3.689
F 3.661 0.882 1.784
F 4.174 1.872 4.823
F 6.552 2.251 3.203
F 6.040 0.985 0.673
F 2.464 1.487 6.443
F -1.852 -0.818 7.484
F 1.817 -1.198 2.090
F 0.577 -0.882 5.579
F 2.957 -0.985 4.468
F 8.275 0.417 3.990
F 5.548 -1.487 2.649
F 7.258 -1.872 1.029
F 11.358 -0.417 0.195
F 11.014 0.109 3.024
F 7.930 -0.109 6.818
F 3.469 -2.251 6.997
```

---

No. 3
Compound: H6RuF12
Source: Alexandria via LeMat-Bulk
Functional: PBE
Structure: optimized geometry

## Properties
- final energy (eV for the cell shown) = -81.722
- DOS at the Fermi energy (states/eV per cell) = 12.12
- symmetry = No. 148
- volume (Å³/atom) = 12.60

The structure in extended XYZ format:
```
19
Lattice="5.112 2.951 2.645 -5.112 2.951 2.645 0.000 -5.903 2.645" Properties=species:S:1:pos:R:3 pbc="T T T"
H -1.563 -1.345 3.961
H -1.946 0.681 3.975
H 0.383 -2.026 3.975
H -0.383 2.026 3.961
H 1.946 -0.681 3.961
H 1.563 1.345 3.975
Ru 0.000 0.000 0.000
F -1.443 0.449 1.081
F 0.333 -1.474 1.081
F -2.298 -0.652 3.953
F 1.110 1.026 1.081
F -0.585 -2.316 3.984
F -1.714 1.665 3.984
F 1.714 -1.665 3.953
F 0.585 2.316 3.953
F -1.110 -1.026 6.855
F 2.298 0.652 3.984
F -0.333 1.474 6.855
F 1.443 -0.449 6.855
```

---

No. 4
Compound: HRu2F
Source: Alexandria via LeMat-Bulk
Functional: PBE
Structure: optimized geometry

## Properties
- DOS at the Fermi energy (states/eV per cell) = 5.57
- symmetry = No. 225
- volume (Å³/atom) = 10.73
- energy relative to the lowest polymorph listed for this composition (meV per atom) = 622

The structure in extended XYZ format:
```
4
Lattice="0.000 2.779 2.779 2.779 0.000 2.779 2.779 2.779 0.000" Properties=species:S:1:pos:R:3 pbc="T T T"
H 0.000 0.000 0.000
Ru 1.389 1.389 1.389
Ru 4.168 4.168 4.168
F 2.779 2.779 2.779
```

---

No. 5
Compound: HRu2F
Source: Alexandria via LeMat-Bulk
Functional: PBE
Structure: optimized geometry

## Properties
- DOS at the Fermi energy (states/eV per cell) = 0.10
- symmetry = No. 122
- volume (Å³/atom) = 11.21
- energy relative to the lowest polymorph listed for this composition (meV per atom) = 0

The structure in extended XYZ format:
```
8
Lattice="-2.329 2.329 4.133 2.329 -2.329 4.133 2.329 2.329 -4.133" Properties=species:S:1:pos:R:3 pbc="T T T"
H 0.000 0.000 0.000
H 0.000 2.329 2.066
Ru 3.494 0.724 -1.033
Ru 0.724 1.165 1.033
Ru -1.165 1.605 3.100
Ru 1.605 1.165 5.166
F 2.329 0.000 2.066
F 0.000 0.000 4.133
```

---

No. 6
Compound: TlHRuF6
Source: Alexandria via LeMat-Bulk
Functional: PBE
Structure: optimized geometry

## Properties
- final energy (eV for the cell shown) = -41.848
- DOS at the Fermi energy (states/eV per cell) = 3.77
- symmetry = No. 1
- volume (Å³/atom) = 16.32

The structure in extended XYZ format:
```
9
Lattice="5.179 0.000 0.000 2.541 4.862 0.000 0.628 0.636 5.831" Properties=species:S:1:pos:R:3 pbc="T T T"
Tl 0.000 0.000 0.000
H 3.570 1.000 3.039
Ru 4.879 3.407 3.039
F 3.327 4.444 2.663
F 4.162 2.997 4.822
F 5.759 5.064 3.799
F 3.967 1.768 2.283
F 5.557 3.826 1.241
F 6.411 2.383 3.443
```

---

No. 7
Compound: Y2HRuF
Source: Alexandria via LeMat-Bulk
Functional: PBE
Structure: optimized geometry

## Properties
- final energy (eV for the cell shown) = -28.077
- DOS at the Fermi energy (states/eV per cell) = 4.52
- symmetry = No. 123
- volume (Å³/atom) = 18.72

The structure in extended XYZ format:
```
5
Lattice="4.851 0.000 0.000 0.000 4.851 0.000 0.000 0.000 3.978" Properties=species:S:1:pos:R:3 pbc="T T T"
Y 0.000 2.425 0.000
Y 2.425 0.000 0.000
H 0.000 0.000 1.989
Ru 2.425 2.425 1.989
F 2.425 2.425 0.000
```

---

No. 8
Compound: HS2F
Source: Alexandria via LeMat-Bulk
Functional: PBE
Structure: optimized geometry

## Properties
- DOS at the Fermi energy (states/eV per cell) = 1.59
- symmetry = No. 166
- volume (Å³/atom) = 10.90
- energy relative to the lowest polymorph listed for this composition (meV per atom) = 938

The structure in extended XYZ format:
```
4
Lattice="1.362 0.787 6.778 -1.362 0.787 6.778 0.000 -1.573 6.778" Properties=species:S:1:pos:R:3 pbc="T T T"
H 0.000 0.000 0.000
S 0.000 0.000 8.139
S 0.000 0.000 12.194
F 0.000 0.000 10.166
```

---

No. 9
Compound: HS2F
Source: Alexandria via LeMat-Bulk
Functional: PBE
Structure: optimized geometry

## Properties
- DOS at the Fermi energy (states/eV per cell) = 3.33
- symmetry = No. 122
- volume (Å³/atom) = 13.21
- energy relative to the lowest polymorph listed for this composition (meV per atom) = 679

The structure in extended XYZ format:
```
8
Lattice="-1.944 1.944 6.994 1.944 -1.944 6.994 1.944 1.944 -6.994" Properties=species:S:1:pos:R:3 pbc="T T T"
H 0.000 0.000 0.000
H 0.000 1.944 3.497
S 0.972 2.429 5.245
S 0.485 0.972 1.748
S -0.972 1.459 5.245
S -0.485 2.916 1.748
F 1.944 0.000 3.497
F 0.000 0.000 6.994
```

---

No. 10
Compound: HS3F
Source: Alexandria via LeMat-Bulk
Functional: PBE
Structure: optimized geometry

## Properties
- DOS at the Fermi energy (states/eV per cell) = 0.00
- symmetry = No. 1
- volume (Å³/atom) = 24.21
- energy relative to the lowest polymorph listed for this composition (meV per atom) = 0

The structure in extended XYZ format:
```
10
Lattice="6.297 0.000 0.000 0.003 6.433 0.000 2.594 0.007 5.976" Properties=species:S:1:pos:R:3 pbc="T T T"
H 0.000 0.000 0.000
H 4.440 5.139 2.999
S 1.003 4.198 0.866
S 2.004 4.945 2.315
S 3.939 4.152 2.195
S 5.443 0.951 3.861
S 6.449 0.210 5.310
S 8.388 0.994 5.172
F 3.322 1.019 0.743
F 7.754 4.142 3.728
```

---

No. 11
Compound: H2SF
Source: Alexandria via LeMat-Bulk
Functional: PBE
Structure: optimized geometry

## Properties
- DOS at the Fermi energy (states/eV per cell) = 0.65
- symmetry = No. 166
- volume (Å³/atom) = 9.19
- energy relative to the lowest polymorph listed for this composition (meV per atom) = 0

The structure in extended XYZ format:
```
4
Lattice="1.457 0.841 4.998 -1.457 0.841 4.998 0.000 -1.683 4.998" Properties=species:S:1:pos:R:3 pbc="T T T"
H 0.000 0.000 1.113
H 0.000 0.000 13.880
S 0.000 0.000 7.496
F 0.000 0.000 0.000
```

---

No. 12
Compound: HS4F
Source: Alexandria via LeMat-Bulk
Functional: PBE
Structure: optimized geometry

## Properties
- final energy (eV for the cell shown) = -23.356
- DOS at the Fermi energy (states/eV per cell) = 0.00
- symmetry = No. 1
- volume (Å³/atom) = 26.32

The structure in extended XYZ format:
```
6
Lattice="4.720 0.000 0.000 -0.436 5.834 0.000 -0.358 -2.610 5.734" Properties=species:S:1:pos:R:3 pbc="T T T"
H 0.000 0.000 0.000
S 0.820 3.230 1.441
S 1.677 2.796 4.511
S 1.802 4.137 2.799
S 3.497 0.556 0.228
F 1.251 -0.453 3.400
```